1.
Th8TeAs4P3 | PBE | relaxed

Unit cell a=8.472 b=8.472 c=8.472 alpha=60.15 beta=60.15 gamma=60.15
Sites, in units of the cell vectors:
Th 0.232 0.759 0.759
Th 0.241 0.241 0.768
Th 0.241 0.768 0.241
Th 0.246 0.246 0.246
Th 0.754 0.754 0.754
Th 0.759 0.232 0.759
Th 0.759 0.759 0.232
Th 0.768 0.241 0.241
Te 0.500 0.500 0.500
As 0.000 0.000 0.000
As 0.000 0.500 0.500
As 0.500 0.000 0.500
As 0.500 0.500 0.000
P 0.000 0.000 0.500
P 0.000 0.500 0.000
P 0.500 0.000 0.000

- ΔE_f (raw) (eV per atom) = -1.3971
- V (A^3/atom) = 27.0
- crystal system = trigonal
- size of the total moment (μB per cell) = 0.00

2.
Th8Te4AsP3 | PBE | relaxed

Unit cell a=8.879 b=8.879 c=8.879 alpha=56.69 beta=56.69 gamma=56.69
Sites, in units of the cell vectors:
Th 0.228 0.741 0.741
Th 0.236 0.236 0.236
Th 0.259 0.259 0.772
Th 0.259 0.772 0.259
Th 0.741 0.228 0.741
Th 0.741 0.741 0.228
Th 0.764 0.764 0.764
Th 0.772 0.259 0.259
Te 0.000 0.000 0.000
Te 0.000 0.500 0.500
Te 0.500 0.000 0.500
Te 0.500 0.500 0.000
As 0.500 0.500 0.500
P 0.000 0.000 0.500
P 0.000 0.500 0.000
P 0.500 0.000 0.000

- ΔE_f (raw) (eV per atom) = -1.3385
- V (A^3/atom) = 28.6
- crystal system = trigonal
- size of the total moment (μB per cell) = 0.00

3.
Th6Te3AsP2 | PBE | relaxed

Unit cell a=7.336 b=7.336 c=7.777 alpha=99.04 beta=99.04 gamma=120.00
Sites, in units of the cell vectors:
Th 0.086 0.429 0.788
Th 0.225 0.225 0.208
Th 0.429 0.086 0.788
Th 0.571 0.914 0.212
Th 0.775 0.775 0.792
Th 0.914 0.571 0.212
Te 0.000 0.000 0.500
Te 0.338 0.662 0.500
Te 0.662 0.338 0.500
As 0.500 0.500 0.000
P 0.168 0.832 0.000
P 0.832 0.168 0.000

- ΔE_f (raw) (eV per atom) = -1.3270
- V (A^3/atom) = 28.7
- crystal system = monoclinic
- size of the total moment (μB per cell) = 0.00

4.
Th6TeAs2P3 | PBE | relaxed

Unit cell a=9.492 b=9.492 c=8.524 alpha=103.71 beta=103.71 gamma=25.63
Sites, in units of the cell vectors:
Th 0.002 0.002 0.224
Th 0.323 0.323 0.422
Th 0.336 0.336 0.910
Th 0.664 0.664 0.090
Th 0.677 0.677 0.578
Th 0.998 0.998 0.776
Te 0.500 0.500 0.500
As 0.167 0.167 0.832
As 0.833 0.833 0.168
P 0.164 0.164 0.332
P 0.500 0.500 0.000
P 0.836 0.836 0.668

- ΔE_f (raw) (eV per atom) = -1.4262
- V (A^3/atom) = 26.9
- crystal system = monoclinic
- size of the total moment (μB per cell) = 0.00

5.
Tm6TeAs3P2 | PBE | relaxed

Unit cell a=9.068 b=9.068 c=8.162 alpha=102.68 beta=102.68 gamma=25.87
Sites, in units of the cell vectors:
Tm 0.004 0.004 0.271
Tm 0.325 0.325 0.905
Tm 0.330 0.330 0.420
Tm 0.670 0.670 0.580
Tm 0.675 0.675 0.095
Tm 0.996 0.996 0.729
Te 0.500 0.500 0.000
As 0.163 0.163 0.833
As 0.500 0.500 0.500
As 0.837 0.837 0.167
P 0.168 0.168 0.335
P 0.832 0.832 0.665

- ΔE_f (raw) (eV per atom) = -1.5117
- V (A^3/atom) = 23.8
- crystal system = monoclinic
- size of the total moment (μB per cell) = 0.00

6.
Tm6TeAs2P3 | PBE | relaxed

Unit cell a=9.043 b=9.043 c=8.126 alpha=103.16 beta=103.16 gamma=25.77
Sites, in units of the cell vectors:
Tm 0.001 0.001 0.227
Tm 0.324 0.324 0.416
Tm 0.334 0.334 0.913
Tm 0.666 0.666 0.087
Tm 0.676 0.676 0.584
Tm 0.999 0.999 0.773
Te 0.500 0.500 0.500
As 0.166 0.166 0.833
As 0.834 0.834 0.167
P 0.164 0.164 0.333
P 0.500 0.500 0.000
P 0.836 0.836 0.667

- ΔE_f (raw) (eV per atom) = -1.5390
- V (A^3/atom) = 23.4
- crystal system = monoclinic
- size of the total moment (μB per cell) = 0.00

7.
Tm6Te3AsP2 | PBE | relaxed

Unit cell a=9.362 b=9.362 c=8.408 alpha=105.19 beta=105.19 gamma=25.22
Sites, in units of the cell vectors:
Tm 0.012 0.012 0.237
Tm 0.323 0.323 0.439
Tm 0.338 0.338 0.888
Tm 0.662 0.662 0.112
Tm 0.677 0.677 0.561
Tm 0.988 0.988 0.763
Te 0.165 0.165 0.833
Te 0.500 0.500 0.500
Te 0.835 0.835 0.167
As 0.500 0.500 0.000
P 0.167 0.167 0.335
P 0.833 0.833 0.665

- ΔE_f (raw) (eV per atom) = -1.4778
- V (A^3/atom) = 25.2
- crystal system = monoclinic
- size of the total moment (μB per cell) = 0.00

8.
Tm6Te3As2P | PBE | relaxed

Unit cell a=9.399 b=9.399 c=8.433 alpha=104.87 beta=104.87 gamma=25.30
Sites, in units of the cell vectors:
Tm 0.006 0.006 0.222
Tm 0.327 0.327 0.436
Tm 0.346 0.346 0.904
Tm 0.654 0.654 0.096
Tm 0.673 0.673 0.564
Tm 0.994 0.994 0.778
Te 0.168 0.168 0.833
Te 0.500 0.500 0.500
Te 0.832 0.832 0.167
As 0.167 0.167 0.332
As 0.833 0.833 0.668
P 0.500 0.500 0.000

- ΔE_f (raw) (eV per atom) = -1.4528
- V (A^3/atom) = 25.6
- crystal system = monoclinic
- size of the total moment (μB per cell) = 0.00

9.
VTeAs2P | PBE | relaxed

Unit cell a=4.890 b=4.890 c=4.463 alpha=90.00 beta=90.00 gamma=90.00
Sites, in units of the cell vectors:
V 0.000 0.000 0.000
Te 0.500 0.500 0.500
As 0.000 0.500 0.000
As 0.500 0.000 0.000
P 0.000 0.000 0.500

- ΔE_f (raw) (eV per atom) = 0.2857
- energy relative to the lowest polymorph listed for this composition (meV/atom) = 0
- V (A^3/atom) = 21.3
- crystal system = tetragonal
- size of the total moment (μB per cell) = 0.00

10.
VTeAs2P | PBE | relaxed

Unit cell a=4.650 b=4.650 c=5.180 alpha=90.00 beta=90.00 gamma=90.00
Sites, in units of the cell vectors:
V 0.000 0.000 0.000
Te 0.500 0.500 0.000
As 0.000 0.500 0.500
As 0.500 0.000 0.500
P 0.500 0.500 0.500

- ΔE_f (raw) (eV per atom) = 0.9792
- energy relative to the lowest polymorph listed for this composition (meV/atom) = 694
- V (A^3/atom) = 22.4
- crystal system = tetragonal
- size of the total moment (μB per cell) = 0.15

11.
Y6Te3AsP2 | PBE | relaxed

Unit cell a=7.190 b=7.190 c=7.470 alpha=99.25 beta=99.25 gamma=119.97
Sites, in units of the cell vectors:
Y 0.089 0.429 0.787
Y 0.231 0.231 0.211
Y 0.429 0.089 0.787
Y 0.571 0.911 0.213
Y 0.769 0.769 0.789
Y 0.911 0.571 0.213
Te 0.000 0.000 0.500
Te 0.335 0.665 0.500
Te 0.665 0.335 0.500
As 0.500 0.500 0.000
P 0.167 0.833 0.000
P 0.833 0.167 0.000

- ΔE_f (raw) (eV per atom) = -1.5532
- V (A^3/atom) = 26.4
- crystal system = monoclinic
- size of the total moment (μB per cell) = 0.00

12.
Y6Te3As2P | PBE | relaxed

Unit cell a=9.544 b=9.544 c=8.564 alpha=104.94 beta=104.94 gamma=25.30
Sites, in units of the cell vectors:
Y 0.006 0.006 0.223
Y 0.327 0.327 0.435
Y 0.345 0.345 0.904
Y 0.655 0.655 0.096
Y 0.673 0.673 0.565
Y 0.994 0.994 0.777
Te 0.168 0.168 0.834
Te 0.500 0.500 0.500
Te 0.832 0.832 0.166
As 0.167 0.167 0.332
As 0.833 0.833 0.668
P 0.500 0.500 0.000

- ΔE_f (raw) (eV per atom) = -1.5351
- V (A^3/atom) = 26.8
- crystal system = monoclinic
- size of the total moment (μB per cell) = 0.00

13.
Y8Te4AsP3 | PBE | relaxed

Unit cell a=8.543 b=8.543 c=8.543 alpha=58.03 beta=58.03 gamma=58.03
Sites, in units of the cell vectors:
Y 0.232 0.740 0.740
Y 0.236 0.236 0.236
Y 0.260 0.260 0.768
Y 0.260 0.768 0.260
Y 0.740 0.232 0.740
Y 0.740 0.740 0.232
Y 0.764 0.764 0.764
Y 0.768 0.260 0.260
Te 0.000 0.000 0.000
Te 0.000 0.500 0.500
Te 0.500 0.000 0.500
Te 0.500 0.500 0.000
As 0.500 0.500 0.500
P 0.000 0.000 0.500
P 0.000 0.500 0.000
P 0.500 0.000 0.000

- ΔE_f (raw) (eV per atom) = -1.5575
- V (A^3/atom) = 26.3
- crystal system = trigonal
- size of the total moment (μB per cell) = 0.00

14.
Th6AsP5 | PBE | relaxed

Unit cell a=7.210 b=7.210 c=7.210 alpha=99.60 beta=99.60 gamma=120.14
Sites, in units of the cell vectors:
Th 0.076 0.415 0.746
Th 0.246 0.246 0.254
Th 0.415 0.076 0.746
Th 0.585 0.924 0.254
Th 0.754 0.754 0.746
Th 0.924 0.585 0.254
As 0.500 0.500 0.000
P 0.000 0.000 0.500
P 0.167 0.833 0.000
P 0.335 0.665 0.500
P 0.665 0.335 0.500
P 0.833 0.167 0.000

- formation energy from the elements (eV per atom) = -1.5252
- V (A^3/atom) = 25.5
- crystal system = monoclinic
- size of the total moment (μB per cell) = 0.00

15.
Th8As5P3 | PBE | relaxed

Unit cell a=8.434 b=8.434 c=8.434 alpha=59.86 beta=59.86 gamma=59.86
Sites, in units of the cell vectors:
Th 0.240 0.750 0.750
Th 0.245 0.245 0.245
Th 0.250 0.250 0.760
Th 0.250 0.760 0.250
Th 0.750 0.240 0.750
Th 0.750 0.750 0.240
Th 0.755 0.755 0.755
Th 0.760 0.250 0.250
As 0.000 0.000 0.000
As 0.000 0.500 0.500
As 0.500 0.000 0.500
As 0.500 0.500 0.000
As 0.500 0.500 0.500
P 0.000 0.000 0.500
P 0.000 0.500 0.000
P 0.500 0.000 0.000

- formation energy from the elements (eV per atom) = -1.4540
- V (A^3/atom) = 26.4
- crystal system = trigonal
- size of the total moment (μB per cell) = 0.00

16.
ThAsP | PBE | relaxed

Unit cell a=17.152 b=4.025 c=4.052 alpha=90.00 beta=90.00 gamma=90.00
Sites, in units of the cell vectors:
Th 0.149 0.250 0.230
Th 0.351 0.750 0.730
Th 0.649 0.250 0.270
Th 0.851 0.750 0.770
As 0.002 0.250 0.706
As 0.498 0.750 0.206
As 0.502 0.250 0.794
As 0.998 0.750 0.294
P 0.181 0.750 0.733
P 0.319 0.250 0.233
P 0.681 0.750 0.767
P 0.819 0.250 0.267

- energy relative to the lowest polymorph listed for this composition (meV/atom) = 0
- formation energy from the elements (eV per atom) = -1.1080
- V (A^3/atom) = 23.3
- crystal system = orthorhombic
- size of the total moment (μB per cell) = 0.00

17.
Th5As4P | PBE | relaxed

Unit cell a=7.327 b=7.327 c=7.327 alpha=99.62 beta=99.62 gamma=131.75
Sites, in units of the cell vectors:
Th 0.000 0.000 0.000
Th 0.207 0.598 0.805
Th 0.402 0.207 0.609
Th 0.598 0.793 0.391
Th 0.793 0.402 0.195
As 0.097 0.301 0.399
As 0.301 0.903 0.204
As 0.699 0.097 0.796
As 0.903 0.699 0.601
P 0.500 0.500 0.000

- formation energy from the elements (eV per atom) = -1.4237
- V (A^3/atom) = 26.8
- crystal system = tetragonal
- size of the total moment (μB per cell) = 0.00

18.
ThAsP | PBE | relaxed

Unit cell a=8.906 b=8.906 c=8.906 alpha=153.76 beta=153.76 gamma=37.45
Sites, in units of the cell vectors:
Th 0.146 0.146 0.000
Th 0.854 0.854 0.000
As 0.000 0.500 0.500
As 0.500 0.000 0.500
P 0.318 0.318 0.000
P 0.682 0.682 0.000

- energy relative to the lowest polymorph listed for this composition (meV/atom) = 17
- formation energy from the elements (eV per atom) = -1.0911
- V (A^3/atom) = 23.0
- crystal system = tetragonal
- size of the total moment (μB per cell) = 0.00

19.
ThAsP | PBE | relaxed

Unit cell a=5.333 b=5.333 c=5.333 alpha=136.17 beta=136.17 gamma=63.72
Sites, in units of the cell vectors:
Th 0.000 0.000 0.000
As 0.343 0.343 0.000
P 0.601 0.601 0.000

- energy relative to the lowest polymorph listed for this composition (meV/atom) = 244
- formation energy from the elements (eV per atom) = -0.8635
- V (A^3/atom) = 23.9
- crystal system = tetragonal
- size of the total moment (μB per cell) = 0.00

20.
Th5AsP4 | PBE | relaxed

Unit cell a=11.030 b=11.030 c=11.030 alpha=158.25 beta=149.05 gamma=38.15
Sites, in units of the cell vectors:
Th 0.000 0.000 0.000
Th 0.200 0.200 0.000
Th 0.396 0.396 0.000
Th 0.604 0.604 0.000
Th 0.800 0.800 0.000
As 0.500 0.000 0.500
P 0.100 0.600 0.500
P 0.299 0.799 0.500
P 0.701 0.201 0.500
P 0.900 0.400 0.500

- formation energy from the elements (eV per atom) = -1.5131
- V (A^3/atom) = 25.5
- crystal system = orthorhombic
- size of the total moment (μB per cell) = 0.00